[1]
Compound: Fe2CoPt
Source: Alexandria
Functional: GGA-PBE
Structure: optimized geometry

Unit cell a=2.696 b=3.544 c=5.345 alpha=90.00 beta=90.00 gamma=90.00
Space group Pmm2 (No. 25)
Asymmetric unit:
Fe1 0.000 0.000 0.000 (multiplicity 1)
Fe2 0.500 0.500 0.247 (multiplicity 1)
Co1 0.500 0.500 0.781 (multiplicity 1)
Pt1 0.000 0.000 0.506 (multiplicity 1)

[2]
Compound: AcTmSnRh
Source: Alexandria
Functional: GGA-PBE
Structure: optimized geometry

Unit cell a=7.514 b=7.514 c=7.514 alpha=90.00 beta=90.00 gamma=90.00
Space group F-43m (No. 216)
Asymmetric unit:
Ac1 0.000 0.000 0.000 (multiplicity 4)
Tm1 0.000 0.000 0.500 (multiplicity 4)
Sn1 0.250 0.250 0.750 (multiplicity 4)
Rh1 0.250 0.250 0.250 (multiplicity 4)

[3]
Compound: Ca2CdCu4Sn3
Source: Alexandria
Functional: GGA-PBE
Structure: optimized geometry

Unit cell a=4.479 b=4.479 c=10.679 alpha=90.00 beta=90.00 gamma=90.00
Space group P-4m2 (No. 115)
Asymmetric unit:
Ca1 0.000 0.500 0.238 (multiplicity 2)
Cd1 0.000 0.000 0.500 (multiplicity 1)
Cu1 0.000 0.000 0.000 (multiplicity 1)
Cu2 0.000 0.500 0.635 (multiplicity 2)
Cu3 0.500 0.500 0.000 (multiplicity 1)
Sn1 0.000 0.500 0.872 (multiplicity 2)
Sn2 0.500 0.500 0.500 (multiplicity 1)

Going through the records in order, we get E_tot values of -7.58, -5.47, -3.60 eV per atom.
Going through the records in order, we get DFT formation energy values of -23, -186, -257 kJ/mol of formula units.